Density functional theory data (GGA-PBE) for an optimized crystal structure of Bi2BSb2.

a = 4.0818 Å, b = 4.0818 Å, c = 9.1877 Å
α = 77.17°, β = 77.17°, γ = 90.00°
With the nearest neighbours (Å) after each atom.
Sites, in units of the cell vectors:
Bi  0.4143  0.4143  0.1714  1 Bi 2.99, 4 B 3.25
Bi  0.5857  0.5857  0.8286  1 Bi 2.99, 4 B 3.25
Sb  0.7500  0.2500  0.5000  4 Sb 2.89
Sb  0.2500  0.7500  0.5000  4 Sb 2.89
B  0.0000  0.0000  0.0000  8 Bi 3.25

**Symmetry**: No. 139
**DOS(E_F)**: 2.9 states/eV/cell
**Energy above the most stable polymorph in this dataset**: 287 meV per atom
**ρ**: 7.7 g/cm³
**Total magnetic moment**: 0.0 μB/f.u.

Density functional theory data (GGA-PBE) for an optimized crystal structure of BiB3Sb.

a = 4.5389 Å, b = 4.5389 Å, c = 4.5389 Å
α = 90.00°, β = 90.00°, γ = 90.00°
With the nearest neighbours (Å) after each atom.
Sites, in units of the cell vectors:
B  0.5000  0.0000  0.0000  2 Sb 2.27
B  0.0000  0.5000  0.0000  2 Sb 2.27
B  0.0000  0.0000  0.5000  2 Sb 2.27
Bi  0.5000  0.5000  0.5000  12 B 3.21
Sb  0.0000  0.0000  0.0000  6 B 2.27

**Symmetry**: No. 221
**DOS(E_F)**: 2.1 states/eV/cell
**Energy above the most stable polymorph in this dataset**: 0 meV per atom
**ρ**: 6.4 g/cm³
**Total magnetic moment**: 0.0 μB/f.u.

Density functional theory data (GGA-PBE) for an optimized crystal structure of BiBSb2.

a = 6.7940 Å, b = 6.7940 Å, c = 6.6387 Å
α = 59.22°, β = 59.22°, γ = 90.00°
With the nearest neighbours (Å) after each atom.
Sites, in units of the cell vectors:
B  0.2500  0.7500  0.5000  4 Sb 2.30
B  0.5000  0.5000  0.0000  4 Sb 2.30
Sb  0.8750  0.7788  0.7500  2 B 2.30
Sb  0.5288  0.1250  0.2500  2 B 2.30
Sb  0.3750  0.4712  0.7500  2 B 2.30
Sb  0.2212  0.6250  0.2500  2 B 2.30
Bi  0.7500  0.2500  0.5000  4 Sb 3.12
Bi  0.0000  0.0000  0.0000  4 Sb 3.12

**Symmetry**: No. 122
**DOS(E_F)**: 2.4 states/eV/cell
**Energy above the most stable polymorph in this dataset**: 0 meV per atom
**ρ**: 7.3 g/cm³
**Total magnetic moment**: 0.0 μB/f.u.